Entry 1:
# CeCuI PBE optimized geometry
# Space group ... C2/m (12)
# Uncorrected formation energy ... -668.2 meV/atom
data_CeCuI
_cell_length_a 4.2524
_cell_length_b 4.2524
_cell_length_c 12.3059
_cell_angle_alpha 87.76
_cell_angle_beta 102.29
_cell_angle_gamma 119.81
_space_group_name_H-M_alt 'P 1'
_space_group_IT_number 1
_space_group_name_Hall 'P 1'
loop_
_atom_site_label
_atom_site_type_symbol
_atom_site_fract_x
_atom_site_fract_y
_atom_site_fract_z
_atom_site_occupancy
Ce1 Ce 0.9117 0.4332 0.3449 1
Ce2 Ce 0.0883 0.5668 0.6551 1
Cu1 Cu 0.3324 0.1660 0.4984 1
Cu2 Cu 0.6676 0.8340 0.5016 1
I1 I 0.5584 0.2770 0.8355 1
I2 I 0.4416 0.7230 0.1645 1

=====

Entry 2:
# Ce7CuI12 PBE optimized geometry
# Space group ... R-3 (148)
# Uncorrected formation energy ... -1075.7 meV/atom
data_Ce7CuI12
_cell_length_a 10.0061
_cell_length_b 10.0061
_cell_length_c 10.0061
_cell_angle_alpha 107.83
_cell_angle_beta 107.83
_cell_angle_gamma 107.83
_space_group_name_H-M_alt 'P 1'
_space_group_IT_number 1
_space_group_name_Hall 'P 1'
loop_
_atom_site_label
_atom_site_type_symbol
_atom_site_fract_x
_atom_site_fract_y
_atom_site_fract_z
_atom_site_occupancy
Ce1 Ce 0.9624 0.6822 0.8891 1
Ce2 Ce 0.3178 0.1109 0.0376 1
Ce3 Ce 0.1109 0.0376 0.3178 1
Ce4 Ce 0.5000 0.5000 0.5000 1
Ce5 Ce 0.8891 0.9624 0.6822 1
Ce6 Ce 0.6822 0.8891 0.9624 1
Ce7 Ce 0.0376 0.3178 0.1109 1
Cu1 Cu 0.0000 0.0000 0.0000 1
I1 I 0.9245 0.3160 0.7723 1
I2 I 0.6840 0.2277 0.0755 1
I3 I 0.4758 0.1533 0.3920 1
I4 I 0.8467 0.6080 0.5242 1
I5 I 0.2277 0.0755 0.6840 1
I6 I 0.6080 0.5242 0.8467 1
I7 I 0.3920 0.4758 0.1533 1
I8 I 0.7723 0.9245 0.3160 1
I9 I 0.1533 0.3920 0.4758 1
I10 I 0.5242 0.8467 0.6080 1
I11 I 0.3160 0.7723 0.9245 1
I12 I 0.0755 0.6840 0.2277 1

=====

Entry 3:
# Ce4CuI5 PBE optimized geometry
# Space group ... C2/m (12)
# Uncorrected formation energy ... -836.0 meV/atom
data_Ce4CuI5
_cell_length_a 4.1673
_cell_length_b 8.0232
_cell_length_c 11.7798
_cell_angle_alpha 100.61
_cell_angle_beta 100.19
_cell_angle_gamma 90.00
_space_group_name_H-M_alt 'P 1'
_space_group_IT_number 1
_space_group_name_Hall 'P 1'
loop_
_atom_site_label
_atom_site_type_symbol
_atom_site_fract_x
_atom_site_fract_y
_atom_site_fract_z
_atom_site_occupancy
Ce1 Ce 0.6046 0.2819 0.2091 1
Ce2 Ce 0.0509 0.8313 0.1017 1
Ce3 Ce 0.3955 0.7181 0.7909 1
Ce4 Ce 0.9491 0.1687 0.8983 1
Cu1 Cu 0.5000 0.0000 0.0000 1
I1 I 0.1759 0.0909 0.3518 1
I2 I 0.1562 0.5870 0.3124 1
I3 I 0.8438 0.4130 0.6876 1
I4 I 0.5000 0.5000 0.0000 1
I5 I 0.8241 0.9091 0.6482 1

=====

Entry 4:
# CeCuI PBE optimized geometry
# Space group ... Cmcm (63)
# Uncorrected formation energy ... -570.4 meV/atom
data_CeCuI
_cell_length_a 4.3631
_cell_length_b 3.9077
_cell_length_c 10.4017
_cell_angle_alpha 79.17
_cell_angle_beta 90.00
_cell_angle_gamma 90.00
_space_group_name_H-M_alt 'P 1'
_space_group_IT_number 1
_space_group_name_Hall 'P 1'
loop_
_atom_site_label
_atom_site_type_symbol
_atom_site_fract_x
_atom_site_fract_y
_atom_site_fract_z
_atom_site_occupancy
Cu1 Cu 0.7500 0.4738 0.0524 1
Cu2 Cu 0.2500 0.5262 0.9476 1
I1 I 0.7500 0.3328 0.3345 1
I2 I 0.2500 0.6672 0.6655 1
Ce1 Ce 0.7500 0.0809 0.8381 1
Ce2 Ce 0.2500 0.9191 0.1619 1

=====

Entry 5:
# CeCuI6 PBE optimized geometry
# Polymorph energy (0 for the lowest one) ... 5.56 kJ per mole of atoms
# Space group ... P-1 (2)
# Uncorrected formation energy ... -653.6 meV/atom
data_CeCuI6
_cell_length_a 8.6539
_cell_length_b 9.3052
_cell_length_c 7.8307
_cell_angle_alpha 60.16
_cell_angle_beta 61.20
_cell_angle_gamma 43.10
_space_group_name_H-M_alt 'P 1'
_space_group_IT_number 1
_space_group_name_Hall 'P 1'
loop_
_atom_site_label
_atom_site_type_symbol
_atom_site_fract_x
_atom_site_fract_y
_atom_site_fract_z
_atom_site_occupancy
Ce1 Ce 0.5000 0.5000 0.5000 1
Cu1 Cu 0.0000 0.0000 0.0000 1
I1 I 0.0919 0.5306 0.6797 1
I2 I 0.7205 0.0893 0.8471 1
I3 I 0.6348 0.2119 0.2800 1
I4 I 0.2795 0.9107 0.1529 1
I5 I 0.9081 0.4694 0.3203 1
I6 I 0.3652 0.7881 0.7200 1

=====

Entry 6:
# CeCuI2 PBE optimized geometry
# Space group ... R-3m (166)
# Uncorrected formation energy ... -120.8 meV/atom
data_CeCuI2
_cell_length_a 4.0383
_cell_length_b 4.0383
_cell_length_c 9.7097
_cell_angle_alpha 78.00
_cell_angle_beta 78.00
_cell_angle_gamma 60.00
_space_group_name_H-M_alt 'P 1'
_space_group_IT_number 1
_space_group_name_Hall 'P 1'
loop_
_atom_site_label
_atom_site_type_symbol
_atom_site_fract_x
_atom_site_fract_y
_atom_site_fract_z
_atom_site_occupancy
I1 I 0.1101 0.1101 0.6696 1
I2 I 0.8899 0.8899 0.3304 1
Cu1 Cu 0.5000 0.5000 0.5000 1
Ce1 Ce 0.0000 0.0000 0.0000 1

=====

Entry 7:
# KCeCuI5 PBE optimized geometry
# Space group ... C2/c (15)
# Uncorrected formation energy ... -1052.9 meV/atom
data_KCeCuI5
_cell_length_a 8.4136
_cell_length_b 8.4136
_cell_length_c 11.5494
_cell_angle_alpha 104.21
_cell_angle_beta 104.21
_cell_angle_gamma 106.05
_space_group_name_H-M_alt 'P 1'
_space_group_IT_number 1
_space_group_name_Hall 'P 1'
loop_
_atom_site_label
_atom_site_type_symbol
_atom_site_fract_x
_atom_site_fract_y
_atom_site_fract_z
_atom_site_occupancy
K1 K 0.3653 0.6347 0.2500 1
K2 K 0.6347 0.3653 0.7500 1
Ce1 Ce 0.0000 0.0000 0.5000 1
Ce2 Ce 0.0000 0.0000 0.0000 1
Cu1 Cu 0.6901 0.3099 0.2500 1
Cu2 Cu 0.3099 0.6901 0.7500 1
I1 I 0.0969 0.9031 0.2500 1
I2 I 0.9031 0.0969 0.7500 1
I3 I 0.9231 0.3307 0.1336 1
I4 I 0.0769 0.6693 0.8664 1
I5 I 0.6693 0.0769 0.3664 1
I6 I 0.3307 0.9231 0.6336 1
I7 I 0.7573 0.6066 0.4331 1
I8 I 0.2427 0.3934 0.5669 1
I9 I 0.3934 0.2427 0.0669 1
I10 I 0.6066 0.7573 0.9331 1

=====

Entry 8:
# KCeCuI6 PBE optimized geometry
# Space group ... P-31c (163)
# Uncorrected formation energy ... -942.8 meV/atom
data_KCeCuI6
_cell_length_a 7.6421
_cell_length_b 7.6421
_cell_length_c 15.8588
_cell_angle_alpha 90.00
_cell_angle_beta 90.00
_cell_angle_gamma 120.00
_space_group_name_H-M_alt 'P 1'
_space_group_IT_number 1
_space_group_name_Hall 'P 1'
loop_
_atom_site_label
_atom_site_type_symbol
_atom_site_fract_x
_atom_site_fract_y
_atom_site_fract_z
_atom_site_occupancy
K1 K 0.0000 0.0000 0.0000 1
K2 K 0.0000 0.0000 0.5000 1
Ce1 Ce 0.6667 0.3333 0.2500 1
Ce2 Ce 0.3333 0.6667 0.7500 1
Cu1 Cu 0.3333 0.6667 0.2500 1
Cu2 Cu 0.6667 0.3333 0.7500 1
I1 I 0.6273 0.6438 0.1422 1
I2 I 0.0165 0.3727 0.1422 1
I3 I 0.3727 0.0165 0.6422 1
I4 I 0.9835 0.6273 0.8578 1
I5 I 0.3562 0.3727 0.3578 1
I6 I 0.0165 0.6438 0.3578 1
I7 I 0.6438 0.0165 0.8578 1
I8 I 0.6273 0.9835 0.3578 1
I9 I 0.9835 0.3562 0.6422 1
I10 I 0.3562 0.9835 0.1422 1
I11 I 0.6438 0.6273 0.6422 1
I12 I 0.3727 0.3562 0.8578 1

=====

Which value of uncorrected formation energy does entry 1 give? -668.2 meV/atom

=====

Among the records above, which one has the lowest uncorrected formation energy? Ce7CuI12

=====

Copy entry 3 word for word.
# Ce4CuI5 PBE optimized geometry
# Space group ... C2/m (12)
# Uncorrected formation energy ... -836.0 meV/atom
data_Ce4CuI5
_cell_length_a 4.1673
_cell_length_b 8.0232
_cell_length_c 11.7798
_cell_angle_alpha 100.61
_cell_angle_beta 100.19
_cell_angle_gamma 90.00
_space_group_name_H-M_alt 'P 1'
_space_group_IT_number 1
_space_group_name_Hall 'P 1'
loop_
_atom_site_label
_atom_site_type_symbol
_atom_site_fract_x
_atom_site_fract_y
_atom_site_fract_z
_atom_site_occupancy
Ce1 Ce 0.6046 0.2819 0.2091 1
Ce2 Ce 0.0509 0.8313 0.1017 1
Ce3 Ce 0.3955 0.7181 0.7909 1
Ce4 Ce 0.9491 0.1687 0.8983 1
Cu1 Cu 0.5000 0.0000 0.0000 1
I1 I 0.1759 0.0909 0.3518 1
I2 I 0.1562 0.5870 0.3124 1
I3 I 0.8438 0.4130 0.6876 1
I4 I 0.5000 0.5000 0.0000 1
I5 I 0.8241 0.9091 0.6482 1

=====

Which of these has the lowest uncorrected formation energy? Ce7CuI12